# Ce2TmPdS5, relaxed, DFT GGA-PBE
# Raw total energy in eV/atom: -6.40
# Total moment in μB/f.u.: 1.14
data_Ce2TmPdS5
_chemical_formula_sum 'Ce8 Tm4 Pd4 S20'
_cell_length_a 3.868
_cell_length_b 16.301
_cell_length_c 11.922
_cell_angle_alpha 90.00
_cell_angle_beta 90.00
_cell_angle_gamma 90.00
_symmetry_space_group_name_H-M 'C m c 21'
_symmetry_Int_Tables_number 36
_symmetry_space_group_name_Hall 'C 2c -2'
loop_
_atom_site_label
_atom_site_type_symbol
_atom_site_fract_x
_atom_site_fract_y
_atom_site_fract_z
Ce1 Ce 0.000 0.109 0.000
Ce2 Ce 0.000 0.122 0.347
Tm1 Tm 0.000 0.177 0.674
Pd1 Pd 0.000 0.446 0.070
S1 S 0.000 0.010 0.674
S2 S 0.000 0.303 0.009
S3 S 0.000 0.306 0.333
S4 S 0.000 0.341 0.671
S5 S 0.000 0.497 0.390

---

# CeTmPdS3, relaxed, DFT GGA-PBE
# Raw total energy in eV/atom: -6.35
# Total moment in μB/f.u.: 0.85
data_CeTmPdS3
_chemical_formula_sum 'Ce2 Tm2 Pd2 S6'
_cell_length_a 7.840
_cell_length_b 3.838
_cell_length_c 8.619
_cell_angle_alpha 90.00
_cell_angle_beta 103.13
_cell_angle_gamma 90.00
_symmetry_space_group_name_H-M 'P 1 21/m 1'
_symmetry_Int_Tables_number 11
_symmetry_space_group_name_Hall '-P 2yb'
loop_
_atom_site_label
_atom_site_type_symbol
_atom_site_fract_x
_atom_site_fract_y
_atom_site_fract_z
Ce1 Ce 0.185 0.250 0.249
Tm1 Tm 0.326 0.750 0.825
Pd1 Pd 0.109 0.250 0.594
S1 S 0.092 0.250 0.873
S2 S 0.268 0.750 0.503
S3 S 0.421 0.750 0.152

---

# Ce2UPd2S6, relaxed, DFT GGA-PBE
# Raw total energy in eV/atom: -6.52
# Total moment in μB/f.u.: 2.05
data_Ce2UPd2S6
_chemical_formula_sum 'Ce2 U1 Pd2 S6'
_cell_length_a 7.1231
_cell_length_b 7.1231
_cell_length_c 5.8102
_cell_angle_alpha 90.00
_cell_angle_beta 90.00
_cell_angle_gamma 120.00
_symmetry_space_group_name_H-M 'P -3'
_symmetry_Int_Tables_number 147
_symmetry_space_group_name_Hall '-P 3'
loop_
_atom_site_label
_atom_site_type_symbol
_atom_site_fract_x
_atom_site_fract_y
_atom_site_fract_z
Ce1 Ce 0.3333 0.6667 0.1051
U1 U 0.0000 0.0000 0.0000
Pd1 Pd 0.3333 0.6667 0.5664
S1 S 0.0475 0.7081 0.7675

---

# Ce2UPdS5, relaxed, DFT GGA-PBE
# Raw total energy in eV/atom: -6.99
# Total moment in μB/f.u.: 3.79
data_Ce2UPdS5
_chemical_formula_sum 'Ce8 U4 Pd4 S20'
_cell_length_a 3.898
_cell_length_b 16.298
_cell_length_c 12.052
_cell_angle_alpha 90.00
_cell_angle_beta 90.00
_cell_angle_gamma 90.00
_symmetry_space_group_name_H-M 'C m c 21'
_symmetry_Int_Tables_number 36
_symmetry_space_group_name_Hall 'C 2c -2'
loop_
_atom_site_label
_atom_site_type_symbol
_atom_site_fract_x
_atom_site_fract_y
_atom_site_fract_z
Ce1 Ce 0.000 0.110 0.000
Ce2 Ce 0.000 0.118 0.347
U1 U 0.000 0.181 0.674
Pd1 Pd 0.000 0.445 0.069
S1 S 0.000 0.016 0.674
S2 S 0.000 0.302 0.013
S3 S 0.000 0.304 0.332
S4 S 0.000 0.346 0.672
S5 S 0.000 0.494 0.392